Y2ZnAuC | Alexandria via LeMat-Bulk | PBE | relaxed; energy = -28.7 eV/f.u.; symmetry = No. 123; energy of formation = -397 meV/atom; total magnetic moment = 0.00 Bohr magnetons per cell
1.0
4.976 0.000 0.000
0.000 4.976 0.000
0.000 0.000 3.950
Y Zn Au C
2 1 1 1
direct
0.000 0.500 0.000
0.500 0.000 0.000
0.000 0.000 0.500
0.500 0.500 0.500
0.000 0.000 0.000